[1]
This record from the Alexandria database describes a PBEsol-optimized structure of TlIn2BiBr. The functional is meta-GGA SCAN.

The space group is P4/mmm (No. 123) and the conventional cell measures 5.7698, 5.7698 and 5.7840 Å, with angles of 90.00, 90.00 and 90.00 degrees. The asymmetric unit holds Tl at (0.0000, 0.0000, 0.0000), In at (0.0000, 0.5000, 0.0000), Bi at (0.0000, 0.0000, 0.5000) and Br at (0.5000, 0.5000, 0.5000).

As for the total moment: 0.000 μB/atom.



[2]
This record from the Alexandria database describes a PBEsol-optimized structure of KLaF4. The functional is meta-GGA SCAN.

The space group is P4/mmm (No. 123) and the conventional cell measures 4.0440, 4.0440 and 6.1540 Å, with angles of 90.00, 90.00 and 90.00 degrees. The asymmetric unit holds K at (0.0000, 0.0000, 0.0000), La at (0.5000, 0.5000, 0.5000) and F at (0.0000, 0.5000, 0.2845).

As for the total moment: 0.000 μB/atom.



Number 1: E_tot -47.100 eV/atom. Number 2: E_tot -14.915 eV/atom.